Record 1
Entry from Alexandria: a geometry-optimized KRb2MgCu structure (PBE-GGA).

Values from the calculation:
formation energy = 0.640 eV/atom
total magnetic moment = 0.0 μB per formula unit

Lattice parameters (Å, degrees): 7.432 7.432 5.627 90.00 90.00 90.00
Space group P4/mmm (No. 123)
Symmetry-distinct sites (fractional):
K  0.000  0.000  0.000 [1 per cell]
Rb  0.000  0.500  0.000 [2 per cell]
Mg  0.500  0.500  0.500 [1 per cell]
Cu  0.000  0.000  0.500 [1 per cell]

Record 2
Entry from Alexandria: a geometry-optimized DyGa2Rh2 structure (PBE-GGA).

Values from the calculation:
formation energy = -0.804 eV/atom
total magnetic moment = 0.0 μB per formula unit

Lattice parameters (Å, degrees): 4.235 4.235 10.023 90.00 90.00 90.00
Space group I4/mmm (No. 139)
Symmetry-distinct sites (fractional):
Dy  0.000  0.000  0.000 [2 per cell]
Ga  0.000  0.000  0.375 [4 per cell]
Rh  0.000  0.500  0.250 [4 per cell]

Record 3
Entry from Alexandria: a geometry-optimized HgH structure (PBE-GGA).

Values from the calculation:
energy relative to the lowest polymorph listed for this composition = 0.90 eV/f.u.
total magnetic moment = 0.0 μB per formula unit

Lattice parameters (Å, degrees): 7.181 7.181 7.181 90.00 90.00 90.00
Space group I-43m (No. 217)
Symmetry-distinct sites (fractional):
Hg  0.148  0.148  0.852 [8 per cell]
H  0.211  0.211  0.211 [8 per cell]

Record 4
Entry from Alexandria: a geometry-optimized KMgBr2 structure (PBE-GGA).

Values from the calculation:
energy relative to the lowest polymorph listed for this composition = 0.19 eV/f.u.
formation energy (no corrections) = -4.4 eV per formula unit
total magnetic moment = 0.8 μB per formula unit

Lattice parameters (Å, degrees): 4.011 4.080 7.763 90.00 90.00 90.00
Space group Pmmm (No. 47)
Symmetry-distinct sites (fractional):
K  0.000  0.000  0.000 [1 per cell]
Mg  0.500  0.000  0.500 [1 per cell]
Br  0.500  0.500  0.249 [2 per cell]

Record 5
Entry from Alexandria: a geometry-optimized MoSe3 structure (PBE-GGA).

Values from the calculation:
formation energy (no corrections) = -1.3 eV per formula unit
total magnetic moment = 0.0 μB per formula unit

Lattice parameters (Å, degrees): 3.308 7.796 7.445 90.00 90.00 90.00
Space group Pmmn (No. 59, origin choice 2)
Symmetry-distinct sites (fractional):
Mo  0.250  0.250  0.029 [2 per cell]
Se  0.250  0.565  0.171 [4 per cell]
Se  0.250  0.750  0.710 [2 per cell]

Record 6
Entry from Alexandria: a geometry-optimized Mn2ReAs structure (PBE-GGA).

Values from the calculation:
formation energy = 0.183 eV/atom
total magnetic moment = 0.8 μB per formula unit

Lattice parameters (Å, degrees): 2.7470 2.7470 24.0301 90.00 90.00 120.00
Space group R-3m (No. 166, hexagonal axes)
Symmetry-distinct sites (fractional):
Mn  0.0000  0.0000  0.2474 [6 per cell]
Re  0.0000  0.0000  0.0000 [3 per cell]
As  0.0000  0.0000  0.5000 [3 per cell]

Record 7
Entry from Alexandria: a geometry-optimized SmScHg6 structure (PBE-GGA).

Values from the calculation:
energy relative to the lowest polymorph listed for this composition = 0.12 eV/f.u.
formation energy = -0.274 eV/atom
total magnetic moment = 0.0 μB per formula unit

Lattice parameters (Å, degrees): 4.677 4.677 8.743 90.00 90.00 90.00
Space group P4/mmm (No. 123)
Symmetry-distinct sites (fractional):
Sm  0.000  0.000  0.000 [1 per cell]
Sc  0.000  0.000  0.500 [1 per cell]
Hg  0.000  0.500  0.262 [4 per cell]
Hg  0.500  0.500  0.000 [1 per cell]
Hg  0.500  0.500  0.500 [1 per cell]

Record 8
Entry from Alexandria: a geometry-optimized LaPm2DyBi4 structure (PBE-GGA).

Values from the calculation:
formation energy = -0.942 eV/atom
total magnetic moment = 0.0 μB per formula unit

Lattice parameters (Å, degrees): 7.939 4.592 7.948 90.00 109.46 90.00
Space group P2/m (No. 10)
Symmetry-distinct sites (fractional):
La  0.000  0.000  0.000 [1 per cell]
Pm  0.000  0.500  0.500 [1 per cell]
Pm  0.500  0.000  0.500 [1 per cell]
Dy  0.500  0.500  0.000 [1 per cell]
Bi  0.256  0.500  0.252 [2 per cell]
Bi  0.257  0.000  0.753 [2 per cell]

Record 9
Entry from Alexandria: a geometry-optimized NbTlTc2 structure (PBE-GGA).

Values from the calculation:
energy relative to the lowest polymorph listed for this composition = 2.20 eV/f.u.
formation energy = 0.861 eV/atom
total magnetic moment = 0.0 μB per formula unit

Lattice parameters (Å, degrees): 4.068 4.068 18.930 90.00 90.00 90.00
Space group I-42d (No. 122)
Symmetry-distinct sites (fractional):
Nb  0.000  0.000  0.000 [4 per cell]
Tl  0.000  0.000  0.500 [4 per cell]
Tc  0.174  0.250  0.125 [8 per cell]

Record 10
Entry from Alexandria: a geometry-optimized ScGeF structure (PBE-GGA).

Values from the calculation:
energy relative to the lowest polymorph listed for this composition = 0.30 eV/f.u.
formation energy (no corrections) = -5.5 eV per formula unit
total magnetic moment = 0.0 μB per formula unit

Lattice parameters (Å, degrees): 3.509 3.509 14.837 90.00 90.00 90.00
Space group I4/mmm (No. 139)
Symmetry-distinct sites (fractional):
Sc  0.000  0.000  0.100 [4 per cell]
Ge  0.000  0.000  0.291 [4 per cell]
F  0.000  0.500  0.000 [4 per cell]

Record 11
Entry from Alexandria: a geometry-optimized CoCu2Au structure (PBE-GGA).

Values from the calculation:
formation energy = 0.165 eV/atom
total magnetic moment = 1.6 μB per formula unit

Lattice parameters (Å, degrees): 3.787 3.787 7.455 90.00 90.00 90.00
Space group I-4m2 (No. 119)
Symmetry-distinct sites (fractional):
Co  0.000  0.000  0.000 [2 per cell]
Cu  0.000  0.000  0.500 [2 per cell]
Cu  0.000  0.500  0.750 [2 per cell]
Au  0.000  0.500  0.250 [2 per cell]

Record 12
Entry from Alexandria: a geometry-optimized Ta3TiCu structure (PBE-GGA).

Values from the calculation:
energy relative to the lowest polymorph listed for this composition = 0.00 eV/f.u.
formation energy = 1.165 eV/atom
total magnetic moment = 1.3 μB per formula unit

Lattice parameters (Å, degrees): 4.648 4.648 4.648 90.00 90.00 90.00
Space group Pm-3m (No. 221)
Symmetry-distinct sites (fractional):
Ta  0.000  0.000  0.500 [3 per cell]
Ti  0.500  0.500  0.500 [1 per cell]
Cu  0.000  0.000  0.000 [1 per cell]

Record 13
Entry from Alexandria: a geometry-optimized Li2AlAu2 structure (PBE-GGA).

Values from the calculation:
energy relative to the lowest polymorph listed for this composition = 2.14 eV/f.u.
formation energy = -0.092 eV/atom
total magnetic moment = 0.0 μB per formula unit

Lattice parameters (Å, degrees): 3.914 3.914 11.774 90.00 90.00 90.00
Space group I4/mmm (No. 139)
Symmetry-distinct sites (fractional):
Li  0.000  0.000  0.104 [4 per cell]
Al  0.000  0.000  0.500 [2 per cell]
Au  0.000  0.500  0.250 [4 per cell]

Record 14
Entry from Alexandria: a geometry-optimized TaCr2Te structure (PBE-GGA).

Values from the calculation:
formation energy (no corrections) = 1.3 eV per formula unit
total magnetic moment = 0.4 μB per formula unit

Lattice parameters (Å, degrees): 3.288 4.236 8.918 90.00 90.00 90.00
Space group Imm2 (No. 44)
Symmetry-distinct sites (fractional):
Ta  0.000  0.000  0.000 [2 per cell]
Cr  0.000  0.000  0.510 [2 per cell]
Cr  0.000  0.500  0.249 [2 per cell]
Te  0.000  0.500  0.763 [2 per cell]

Record 15
Entry from Alexandria: a geometry-optimized Ca2AlZnPd2 structure (PBE-GGA).

Values from the calculation:
formation energy = -0.639 eV/atom
total magnetic moment = 0.0 μB per formula unit

Lattice parameters (Å, degrees): 5.978 14.297 6.029 90.00 90.00 90.00
Space group Ibam (No. 72)
Symmetry-distinct sites (fractional):
Ca  0.240  0.171  0.000 [8 per cell]
Al  0.000  0.500  0.250 [4 per cell]
Zn  0.000  0.000  0.250 [4 per cell]
Pd  0.234  0.396  0.000 [8 per cell]

Record 16
Entry from Alexandria: a geometry-optimized LaYEr2Tm structure (PBE-GGA).

Values from the calculation:
formation energy = 0.373 eV/atom
total magnetic moment = 0.0 μB per formula unit

Lattice parameters (Å, degrees): 8.395 11.467 7.231 90.00 90.00 90.00
Space group Cmcm (No. 63)
Symmetry-distinct sites (fractional):
La  0.000  0.232  0.250 [4 per cell]
Y  0.000  0.496  0.750 [4 per cell]
Er  0.189  0.000  0.000 [8 per cell]
Tm  0.000  0.215  0.750 [4 per cell]